Mo3C8Se13N2 after structural relaxation, computed with PBE.

Results
ΔE_f (raw) (eV/atom): 0.60
Symmetry: Cm

Cell lengths 10.937, 10.937, 7.379 Å; angles 81.67, 81.67, 125.68 degrees
Sites, in units of the cell vectors:
Mo  0.150  0.006  0.452
Mo  0.827  0.827  0.551
Mo  0.006  0.150  0.452
C  0.638  0.327  0.947
C  0.327  0.638  0.947
C  0.563  0.238  0.150
C  0.687  0.406  0.127
C  0.715  0.497  0.930
C  0.238  0.563  0.150
C  0.497  0.715  0.930
C  0.406  0.687  0.127
Se  0.947  0.686  0.604
Se  0.686  0.947  0.604
Se  0.315  0.315  0.387
Se  0.988  0.806  0.281
Se  0.806  0.988  0.281
Se  0.199  0.199  0.155
Se  0.399  0.022  0.303
Se  0.552  0.552  0.589
Se  0.022  0.399  0.303
Se  0.351  0.024  0.619
Se  0.613  0.613  0.870
Se  0.024  0.351  0.619
Se  0.992  0.992  0.750
N  0.737  0.314  0.058
N  0.314  0.737  0.058